#P
# AgBrCl2 (GGA-PBE, optimized geometry)
# total magnetic moment = 0.0 Bohr magnetons per cell
# mass density = 3.780 Mg/m³
data_AgBrCl2
_chemical_formula_sum 'Ag2 Br2 Cl4'
_cell_length_a 15.6644
_cell_length_b 3.8372
_cell_length_c 3.8289
_cell_angle_alpha 90.00
_cell_angle_beta 99.01
_cell_angle_gamma 90.00
_symmetry_space_group_name_H-M 'C 1 m 1'
_symmetry_Int_Tables_number 8
_symmetry_space_group_name_Hall 'C -2y'
loop_
_atom_site_label
_atom_site_fract_x
_atom_site_fract_y
_atom_site_fract_z
Ag1 0.0000 0.0000 0.0000
Br1 0.2491 0.0000 0.7469
Cl1 0.9996 0.5000 0.4993
Cl2 0.2496 0.5000 0.2472


#Q
# AgBrCl2 (GGA-PBE, optimized geometry)
# total magnetic moment = 0.0 Bohr magnetons per cell
# mass density = 3.338 Mg/m³
data_AgBrCl2
_chemical_formula_sum 'Ag4 Br4 Cl8'
_cell_length_a 6.0633
_cell_length_b 15.3599
_cell_length_c 5.5265
_cell_angle_alpha 90.00
_cell_angle_beta 90.00
_cell_angle_gamma 90.00
_symmetry_space_group_name_H-M 'P n a 21'
_symmetry_Int_Tables_number 33
_symmetry_space_group_name_Hall 'P 2c -2n'
loop_
_atom_site_label
_atom_site_fract_x
_atom_site_fract_y
_atom_site_fract_z
Ag1 0.0398 0.1566 0.0000
Br1 0.1367 0.6146 0.8353
Cl1 0.1171 0.3264 0.0106
Cl2 0.1231 0.0583 0.6353


Verdict on stability: #P comes out at the bottom.


#P
# AgBrCl2 (GGA-PBE, optimized geometry)
# total magnetic moment = 0.0 Bohr magnetons per cell
# mass density = 3.407 Mg/m³
data_AgBrCl2
_chemical_formula_sum 'Ag2 Br2 Cl4'
_cell_length_a 3.0954
_cell_length_b 7.3374
_cell_length_c 11.1038
_cell_angle_alpha 90.00
_cell_angle_beta 90.00
_cell_angle_gamma 90.00
_symmetry_space_group_name_H-M 'I m m m'
_symmetry_Int_Tables_number 71
_symmetry_space_group_name_Hall '-I 2 2'
loop_
_atom_site_label
_atom_site_fract_x
_atom_site_fract_y
_atom_site_fract_z
Ag1 0.0000 0.0000 0.0000
Br1 0.0000 0.0000 0.5000
Cl1 0.0000 0.5000 0.3322


#Q
# AgBrCl2 (GGA-PBE, optimized geometry)
# total magnetic moment = 4.3 Bohr magnetons per cell
# mass density = 4.300 Mg/m³
data_AgBrCl2
_chemical_formula_sum 'Ag3 Br3 Cl6'
_cell_length_a 3.8464
_cell_length_b 3.8464
_cell_length_c 23.3877
_cell_angle_alpha 90.00
_cell_angle_beta 90.00
_cell_angle_gamma 120.00
_symmetry_space_group_name_H-M 'R -3 m'
_symmetry_Int_Tables_number 166
_symmetry_space_group_name_Hall '-R 3 2"'
loop_
_atom_site_label
_atom_site_fract_x
_atom_site_fract_y
_atom_site_fract_z
Ag1 0.0000 0.0000 0.0000
Br1 0.0000 0.0000 0.5000
Cl1 0.0000 0.0000 0.2718


Verdict on stability: #Q comes out at the bottom.


#P
# AgBrCl2 (GGA-PBE, optimized geometry)
# total magnetic moment = 0.0 Bohr magnetons per cell
# mass density = 3.775 Mg/m³
data_AgBrCl2
_chemical_formula_sum 'Ag2 Br2 Cl4'
_cell_length_a 7.3819
_cell_length_b 4.1164
_cell_length_c 7.6086
_cell_angle_alpha 90.00
_cell_angle_beta 100.13
_cell_angle_gamma 90.00
_symmetry_space_group_name_H-M 'C 1 2/m 1'
_symmetry_Int_Tables_number 12
_symmetry_space_group_name_Hall '-C 2y'
loop_
_atom_site_label
_atom_site_fract_x
_atom_site_fract_y
_atom_site_fract_z
Ag1 0.0000 0.0000 0.0000
Br1 0.0000 0.5000 0.5000
Cl1 0.1305 0.5000 0.8166


#Q
# AgBrCl2 (GGA-PBE, optimized geometry)
# total magnetic moment = 0.0 Bohr magnetons per cell
# mass density = 3.891 Mg/m³
data_AgBrCl2
_chemical_formula_sum 'Ag2 Br2 Cl4'
_cell_length_a 7.4985
_cell_length_b 7.6659
_cell_length_c 5.3012
_cell_angle_alpha 90.00
_cell_angle_beta 133.58
_cell_angle_gamma 90.00
_symmetry_space_group_name_H-M 'C 1 2/m 1'
_symmetry_Int_Tables_number 12
_symmetry_space_group_name_Hall '-C 2y'
loop_
_atom_site_label
_atom_site_fract_x
_atom_site_fract_y
_atom_site_fract_z
Ag1 0.0000 0.0000 0.0000
Br1 0.0000 0.5000 0.0000
Cl1 0.2500 0.2500 0.5000


#R
# AgBrCl2 (GGA-PBE, optimized geometry)
# total magnetic moment = 0.0 Bohr magnetons per cell
# mass density = 3.321 Mg/m³
data_AgBrCl2
_chemical_formula_sum 'Ag2 Br2 Cl4'
_cell_length_a 3.7231
_cell_length_b 8.3411
_cell_length_c 8.3296
_cell_angle_alpha 90.00
_cell_angle_beta 90.00
_cell_angle_gamma 90.00
_symmetry_space_group_name_H-M 'C m m 2'
_symmetry_Int_Tables_number 35
_symmetry_space_group_name_Hall 'C 2 -2'
loop_
_atom_site_label
_atom_site_fract_x
_atom_site_fract_y
_atom_site_fract_z
Ag1 0.0000 0.0000 0.0000
Br1 0.0000 0.5000 0.2138
Cl1 0.0000 0.0000 0.4570
Cl2 0.0000 0.5000 0.8109


Verdict on stability: #Q comes out at the bottom.


#P
# AgBr2Cl (GGA-PBE, optimized geometry)
# total magnetic moment = 0.6 Bohr magnetons per cell
# mass density = 3.201 Mg/m³
data_AgBr2Cl
_chemical_formula_sum 'Ag1 Br2 Cl1'
_cell_length_a 5.5941
_cell_length_b 5.5941
_cell_length_c 5.0253
_cell_angle_alpha 90.00
_cell_angle_beta 90.00
_cell_angle_gamma 90.00
_symmetry_space_group_name_H-M 'P 4/m m m'
_symmetry_Int_Tables_number 123
_symmetry_space_group_name_Hall '-P 4 2'
loop_
_atom_site_label
_atom_site_fract_x
_atom_site_fract_y
_atom_site_fract_z
Ag1 0.0000 0.0000 0.0000
Br1 0.5000 0.5000 0.2505
Cl1 0.0000 0.0000 0.5000


#Q
# AgBr2Cl (GGA-PBE, optimized geometry)
# total magnetic moment = 0.0 Bohr magnetons per cell
# mass density = 4.125 Mg/m³
data_AgBr2Cl
_chemical_formula_sum 'Ag2 Br4 Cl2'
_cell_length_a 3.9437
_cell_length_b 3.9437
_cell_length_c 15.6906
_cell_angle_alpha 90.00
_cell_angle_beta 90.00
_cell_angle_gamma 90.00
_symmetry_space_group_name_H-M 'I 4/m m m'
_symmetry_Int_Tables_number 139
_symmetry_space_group_name_Hall '-I 4 2'
loop_
_atom_site_label
_atom_site_fract_x
_atom_site_fract_y
_atom_site_fract_z
Ag1 0.0000 0.0000 0.0000
Br1 0.0000 0.5000 0.2500
Cl1 0.0000 0.0000 0.5000


Verdict on stability: #P comes out at the bottom.